This record from Alexandria describes an optimized crystal structure of BaZrMo3. The functional is GGA-PBE.

## Properties
Crystal system = cubic
Space group = Pm-3m
Density = 6682 kg/m3
ΔE to the lowest computed polymorph = 0.000 eV per formula unit
Size of the total moment = 0.0 μB per cell

Structure (CIF):
```
data_BaZrMo3
_chemical_formula_sum 'Ba1 Zr1 Mo3'
_cell_length_a 5.044
_cell_length_b 5.044
_cell_length_c 5.044
_cell_angle_alpha 90.00
_cell_angle_beta 90.00
_cell_angle_gamma 90.00
_symmetry_space_group_name_H-M 'P 1'
_symmetry_Int_Tables_number 1
_symmetry_space_group_name_Hall 'P 1'
loop_
_atom_site_label
_atom_site_fract_x
_atom_site_fract_y
_atom_site_fract_z
Mo1 0.000 0.500 0.000
Mo2 0.000 0.000 0.500
Mo3 0.500 0.000 0.000
Ba1 0.500 0.500 0.500
Zr1 0.000 0.000 0.000
```